This record from the Alexandria database describes an optimized crystal structure of LaFe2SnC. The functional is PBE-GGA.

Results
The value obtained for the total energy is -32.57 eV per cell. The value obtained for the density of states at the Fermi level is 6.129 states/eV/cell. For the calculated density, the calculation gives 7.5 g/cm3. Its energy of formation is 0.50 eV per atom.

Lattice parameters (Å, degrees): 4.132 4.132 4.966 90.00 90.00 90.00
Space group P4/mmm (No. 123)
Unique sites:
La1 0.000 0.000 0.000 x1
Fe1 0.000 0.500 0.500 x2
Sn1 0.500 0.500 0.000 x1
C1 0.000 0.000 0.500 x1